# 1
# Rb3B7O12

Rb3B7O12 after structural relaxation (PBE-GGA, Alexandria via LeMat-Bulk). Values from VASP.

## Properties
- energy relative to the elements, uncorrected (meV/atom) = -2395
- SG = P-1, No. 2

Geometry as Quantum ESPRESSO input:
```
&SYSTEM
  ibrav = 0, nat = 88, ntyp = 3
/
ATOMIC_SPECIES
Rb 85.47 Rb.upf
B 10.81 B.upf
O 16.00 O.upf
ATOMIC_POSITIONS crystal
Rb 0.603 0.883 0.849
Rb 0.397 0.117 0.151
Rb 0.025 0.649 0.804
Rb 0.975 0.351 0.196
Rb 0.306 0.237 0.641
Rb 0.694 0.763 0.359
Rb 0.031 0.659 0.690
Rb 0.969 0.341 0.310
Rb 0.411 0.213 0.523
Rb 0.589 0.787 0.477
Rb 0.666 0.799 0.974
Rb 0.334 0.201 0.026
B 0.606 0.795 0.653
B 0.394 0.205 0.347
B 0.941 0.162 0.748
B 0.059 0.838 0.252
B 0.622 0.757 0.739
B 0.378 0.243 0.261
B 0.544 0.089 0.738
B 0.456 0.911 0.262
B 0.232 0.069 0.419
B 0.768 0.931 0.581
B 0.822 0.610 0.095
B 0.178 0.390 0.905
B 0.057 0.329 0.429
B 0.943 0.671 0.571
B 0.348 0.750 0.587
B 0.652 0.250 0.413
B 0.786 0.310 0.930
B 0.214 0.690 0.070
B 0.305 0.234 0.845
B 0.695 0.766 0.155
B 0.377 0.332 0.762
B 0.623 0.668 0.238
B 0.029 0.360 0.566
B 0.971 0.640 0.434
B 0.660 0.871 0.078
B 0.340 0.129 0.922
B 0.099 0.703 0.932
B 0.901 0.297 0.068
O 0.626 0.707 0.692
O 0.374 0.293 0.308
O 0.389 0.728 0.635
O 0.611 0.272 0.365
O 0.370 0.220 0.804
O 0.630 0.780 0.196
O 0.322 0.085 0.874
O 0.678 0.915 0.126
O 0.967 0.135 0.565
O 0.033 0.865 0.435
O 0.566 0.565 0.765
O 0.434 0.435 0.235
O 0.161 0.334 0.751
O 0.839 0.666 0.249
O 0.782 0.239 0.739
O 0.218 0.761 0.261
O 0.872 0.541 0.941
O 0.128 0.459 0.059
O 0.865 0.936 0.754
O 0.135 0.064 0.246
O 0.566 0.155 0.938
O 0.434 0.845 0.062
O 0.466 0.861 0.744
O 0.534 0.139 0.256
O 0.201 0.074 0.370
O 0.799 0.926 0.630
O 0.132 0.565 0.433
O 0.868 0.435 0.567
O 0.258 0.516 0.567
O 0.742 0.484 0.433
O 0.842 0.077 0.058
O 0.158 0.923 0.942
O 0.225 0.380 0.858
O 0.775 0.620 0.142
O 0.167 0.820 0.583
O 0.833 0.180 0.417
O 0.448 0.083 0.432
O 0.552 0.917 0.568
O 0.243 0.633 0.915
O 0.757 0.367 0.085
O 0.223 0.273 0.438
O 0.777 0.727 0.562
O 0.925 0.239 0.911
O 0.075 0.761 0.089
O 0.401 0.176 0.729
O 0.599 0.824 0.271
O 0.684 0.673 0.067
O 0.316 0.327 0.933
CELL_PARAMETERS angstrom
6.686 0.003 -0.007
-3.262 5.868 0.011
-0.971 -1.154 30.694
```

---

# 2
# AcDy6Tm4

AcDy6Tm4 after structural relaxation (PBE-GGA, Alexandria via LeMat-Bulk). Values from VASP.

## Properties
- DFT formation energy (eV per atom) = 0.143
- SG = Cmcm, No. 63

Geometry as Quantum ESPRESSO input:
```
&SYSTEM
  ibrav = 0, nat = 22, ntyp = 3
/
ATOMIC_SPECIES
Ac 227.00 Ac.upf
Dy 162.50 Dy.upf
Tm 168.93 Tm.upf
ATOMIC_POSITIONS crystal
Ac 0.810 0.619 0.250
Ac 0.190 0.381 0.750
Dy 0.500 0.000 0.000
Dy 0.500 0.000 0.500
Dy 0.141 0.281 0.321
Dy 0.859 0.719 0.679
Dy 0.859 0.719 0.821
Dy 0.141 0.281 0.179
Dy 0.810 0.621 0.402
Dy 0.190 0.379 0.598
Dy 0.190 0.379 0.902
Dy 0.810 0.621 0.098
Dy 0.474 0.948 0.250
Dy 0.526 0.052 0.750
Tm 0.843 0.685 0.542
Tm 0.471 0.942 0.122
Tm 0.157 0.315 0.458
Tm 0.529 0.058 0.878
Tm 0.843 0.685 0.958
Tm 0.157 0.315 0.042
Tm 0.529 0.058 0.622
Tm 0.471 0.942 0.378
CELL_PARAMETERS angstrom
5.748 0.000 0.000
-2.874 4.857 0.000
0.000 0.000 25.542
```

---

# 3
# NdZn2Ru

NdZn2Ru after structural relaxation (PBE-GGA, Alexandria via LeMat-Bulk). Values from VASP.

## Properties
- DFT formation energy (eV per atom) = -0.264
- SG = Pnma, No. 62

Geometry as Quantum ESPRESSO input:
```
&SYSTEM
  ibrav = 0, nat = 32, ntyp = 3
/
ATOMIC_SPECIES
Nd 144.24 Nd.upf
Zn 65.41 Zn.upf
Ru 101.07 Ru.upf
ATOMIC_POSITIONS crystal
Nd 0.417 0.250 0.151
Nd 0.917 0.750 0.349
Nd 0.583 0.750 0.849
Nd 0.083 0.250 0.651
Nd 0.706 0.250 0.397
Nd 0.206 0.750 0.103
Nd 0.294 0.750 0.603
Nd 0.794 0.250 0.897
Zn 0.896 0.056 0.201
Zn 0.396 0.944 0.299
Zn 0.104 0.556 0.799
Zn 0.604 0.444 0.701
Zn 0.104 0.944 0.799
Zn 0.604 0.056 0.701
Zn 0.896 0.444 0.201
Zn 0.396 0.556 0.299
Zn 0.720 0.560 0.045
Zn 0.220 0.440 0.455
Zn 0.280 0.060 0.955
Zn 0.780 0.940 0.545
Zn 0.280 0.440 0.955
Zn 0.780 0.560 0.545
Zn 0.720 0.940 0.045
Zn 0.220 0.060 0.455
Ru 0.136 0.250 0.311
Ru 0.636 0.750 0.189
Ru 0.864 0.750 0.689
Ru 0.364 0.250 0.811
Ru 0.999 0.250 0.060
Ru 0.499 0.750 0.440
Ru 0.001 0.750 0.940
Ru 0.501 0.250 0.560
CELL_PARAMETERS angstrom
-4.854 2.770 -1.007
-0.169 -2.645 -6.460
-8.055 -12.221 5.215
```

---

# 4
# CaRhF

CaRhF after structural relaxation (PBE-GGA, Alexandria via LeMat-Bulk). Values from VASP.

## Properties
- energy relative to the elements, uncorrected (meV/atom) = -754
- SG = P6_3/mmc, No. 194

Geometry as Quantum ESPRESSO input:
```
&SYSTEM
  ibrav = 0, nat = 6, ntyp = 3
/
ATOMIC_SPECIES
Ca 40.08 Ca.upf
Rh 102.91 Rh.upf
F 19.00 F.upf
ATOMIC_POSITIONS crystal
Ca 0.000 0.000 0.000
Ca 0.000 0.000 0.500
Rh 0.333 0.667 0.750
Rh 0.667 0.333 0.250
F 0.333 0.667 0.250
F 0.667 0.333 0.750
CELL_PARAMETERS angstrom
-3.250 2.130 -1.113
0.446 -1.142 3.852
3.666 6.358 1.460
```

---

# 5
# LiThGa2Pd4

LiThGa2Pd4 after structural relaxation (PBE-GGA, Alexandria via LeMat-Bulk). Values from VASP.

## Properties
- DFT formation energy (eV per atom) = -0.739
- SG = R-3m, No. 166

Geometry as Quantum ESPRESSO input:
```
&SYSTEM
  ibrav = 0, nat = 8, ntyp = 4
/
ATOMIC_SPECIES
Li 6.94 Li.upf
Th 232.04 Th.upf
Ga 69.72 Ga.upf
Pd 106.42 Pd.upf
ATOMIC_POSITIONS crystal
Li 0.500 0.500 0.500
Th 0.000 0.000 0.000
Ga 0.765 0.765 0.704
Ga 0.235 0.235 0.296
Pd 0.401 0.401 0.798
Pd 0.868 0.868 0.395
Pd 0.132 0.132 0.605
Pd 0.599 0.599 0.202
CELL_PARAMETERS angstrom
-1.981 -3.606 -1.246
1.493 -2.220 -3.364
4.857 -6.512 3.707
```

---

# 6
# NbSb2SeCl

NbSb2SeCl after structural relaxation (PBE-GGA, Alexandria via LeMat-Bulk). Values from VASP.

## Properties
- energy relative to the elements, uncorrected (meV/atom) = 740
- SG = P4/mmm, No. 123

Geometry as Quantum ESPRESSO input:
```
&SYSTEM
  ibrav = 0, nat = 5, ntyp = 4
/
ATOMIC_SPECIES
Sb 121.76 Sb.upf
Nb 92.91 Nb.upf
Se 78.96 Se.upf
Cl 35.45 Cl.upf
ATOMIC_POSITIONS crystal
Sb 0.000 0.000 0.500
Sb 0.500 0.000 0.000
Nb 0.000 0.500 0.000
Se 0.000 0.000 0.000
Cl 0.500 0.500 0.500
CELL_PARAMETERS angstrom
5.532 0.000 0.000
0.000 4.905 0.000
0.000 0.000 5.532
```

---

# 7
# BaSn4Au4

BaSn4Au4 after structural relaxation (PBE-GGA, Alexandria via LeMat-Bulk). Values from VASP.

## Properties
- DFT formation energy (eV per atom) = -0.349
- SG = P4_2/n, No. 86

Geometry as Quantum ESPRESSO input:
```
&SYSTEM
  ibrav = 0, nat = 18, ntyp = 3
/
ATOMIC_SPECIES
Ba 137.33 Ba.upf
Sn 118.71 Sn.upf
Au 196.97 Au.upf
ATOMIC_POSITIONS crystal
Ba 0.000 0.000 0.000
Ba 0.500 0.500 0.500
Sn 0.408 0.363 0.874
Sn 0.908 0.626 0.863
Sn 0.408 0.637 0.126
Sn 0.092 0.137 0.626
Sn 0.592 0.874 0.637
Sn 0.092 0.863 0.374
Sn 0.908 0.374 0.137
Sn 0.592 0.126 0.363
Au 0.580 0.830 0.333
Au 0.580 0.170 0.667
Au 0.080 0.833 0.670
Au 0.920 0.330 0.833
Au 0.920 0.670 0.167
Au 0.420 0.333 0.170
Au 0.420 0.667 0.830
Au 0.080 0.167 0.330
CELL_PARAMETERS angstrom
5.729 0.000 0.000
0.000 9.376 0.000
0.000 0.000 9.376
```

---

# 8
# BaIn

BaIn after structural relaxation (PBE-GGA, Alexandria via LeMat-Bulk). Values from VASP.

## Properties
- DFT formation energy (eV per atom) = -0.347
- SG = P6_3/mmc, No. 194

Geometry as Quantum ESPRESSO input:
```
&SYSTEM
  ibrav = 0, nat = 12, ntyp = 2
/
ATOMIC_SPECIES
Ba 137.33 Ba.upf
In 114.82 In.upf
ATOMIC_POSITIONS crystal
Ba 0.816 0.632 0.250
Ba 0.184 0.816 0.750
Ba 0.368 0.184 0.250
Ba 0.184 0.368 0.750
Ba 0.816 0.184 0.250
Ba 0.632 0.816 0.750
In 0.433 0.867 0.250
In 0.567 0.433 0.750
In 0.133 0.567 0.250
In 0.567 0.133 0.750
In 0.433 0.567 0.250
In 0.867 0.433 0.750
CELL_PARAMETERS angstrom
10.068 0.000 0.000
-5.034 8.720 0.000
0.000 0.000 5.870
```

---

# 9
# SmZnGe

SmZnGe after structural relaxation (PBE-GGA, Alexandria via LeMat-Bulk). Values from VASP.

## Properties
- DFT formation energy (eV per atom) = -0.669
- SG = P6_3/mmc, No. 194

Geometry as Quantum ESPRESSO input:
```
&SYSTEM
  ibrav = 0, nat = 6, ntyp = 3
/
ATOMIC_SPECIES
Ge 72.64 Ge.upf
Zn 65.41 Zn.upf
Sm 150.36 Sm.upf
ATOMIC_POSITIONS crystal
Ge 0.667 0.333 0.250
Ge 0.333 0.667 0.750
Zn 0.667 0.333 0.750
Zn 0.333 0.667 0.250
Sm 0.000 0.000 0.000
Sm 0.000 0.000 0.500
CELL_PARAMETERS angstrom
-4.027 -0.006 -1.272
3.002 -1.622 -2.487
-1.104 -7.452 3.528
```

---

# 10
# Be2SbBr

Be2SbBr after structural relaxation (PBE-GGA, Alexandria via LeMat-Bulk). Values from VASP.

## Properties
- energy relative to the elements, uncorrected (meV/atom) = -39
- SG = I-42d, No. 122

Geometry as Quantum ESPRESSO input:
```
&SYSTEM
  ibrav = 0, nat = 8, ntyp = 3
/
ATOMIC_SPECIES
Sb 121.76 Sb.upf
Br 79.90 Br.upf
Be 9.01 Be.upf
ATOMIC_POSITIONS crystal
Sb 0.000 0.000 0.000
Sb 0.750 0.250 0.500
Br 0.500 0.500 0.000
Br 0.250 0.750 0.500
Be 0.637 0.125 0.250
Be 0.113 0.625 0.250
Be 0.375 0.363 0.750
Be 0.875 0.887 0.750
CELL_PARAMETERS angstrom
-1.541 5.231 -1.046
-3.545 -0.190 4.269
1.528 4.413 5.076
```

---

# 11
# RbTl2S10

RbTl2S10 after structural relaxation (PBE-GGA, Alexandria via LeMat-Bulk). Values from VASP.

## Properties
- energy relative to the elements, uncorrected (meV/atom) = -170
- SG = P2_1/c, No. 14

Geometry as Quantum ESPRESSO input:
```
&SYSTEM
  ibrav = 0, nat = 26, ntyp = 3
/
ATOMIC_SPECIES
Rb 85.47 Rb.upf
Tl 204.38 Tl.upf
S 32.06 S.upf
ATOMIC_POSITIONS crystal
Rb 0.000 0.500 0.500
Rb 0.000 0.000 0.000
Tl 0.263 0.303 0.856
Tl 0.737 0.697 0.144
Tl 0.263 0.803 0.644
Tl 0.737 0.197 0.356
S 0.768 0.859 0.587
S 0.232 0.141 0.413
S 0.768 0.359 0.913
S 0.232 0.641 0.087
S 0.715 0.148 0.723
S 0.285 0.852 0.277
S 0.307 0.279 0.090
S 0.299 0.810 0.902
S 0.701 0.690 0.402
S 0.693 0.221 0.590
S 0.693 0.721 0.910
S 0.701 0.190 0.098
S 0.299 0.310 0.598
S 0.307 0.779 0.410
S 0.090 0.076 0.223
S 0.910 0.924 0.777
S 0.090 0.576 0.277
S 0.910 0.424 0.723
S 0.285 0.352 0.223
S 0.715 0.648 0.777
CELL_PARAMETERS angstrom
-1.618 1.094 4.780
1.810 -4.786 2.519
25.854 12.835 5.811
```

---

# 12
# CaZr2BiCl

CaZr2BiCl after structural relaxation (PBE-GGA, Alexandria via LeMat-Bulk). Values from VASP.

## Properties
- energy relative to the elements, uncorrected (meV/atom) = 788
- SG = P4/mmm, No. 123

Geometry as Quantum ESPRESSO input:
```
&SYSTEM
  ibrav = 0, nat = 5, ntyp = 4
/
ATOMIC_SPECIES
Ca 40.08 Ca.upf
Bi 208.98 Bi.upf
Zr 91.22 Zr.upf
Cl 35.45 Cl.upf
ATOMIC_POSITIONS crystal
Ca 0.000 0.000 0.000
Bi 0.500 0.500 0.500
Zr 0.000 0.000 0.500
Zr 0.500 0.000 0.000
Cl 0.000 0.500 0.000
CELL_PARAMETERS angstrom
-0.215 -3.352 -4.400
4.792 -0.214 -0.071
-0.147 -4.399 3.358
```

---

# 13
# TmURu

TmURu after structural relaxation (PBE-GGA, Alexandria via LeMat-Bulk). Values from VASP.

## Properties
- DFT formation energy (eV per atom) = -0.245
- SG = R-3m, No. 166

Geometry as Quantum ESPRESSO input:
```
&SYSTEM
  ibrav = 0, nat = 18, ntyp = 3
/
ATOMIC_SPECIES
Tm 168.93 Tm.upf
Ru 101.07 Ru.upf
U 238.03 U.upf
ATOMIC_POSITIONS crystal
Tm 0.743 0.743 0.771
Tm 0.257 0.257 0.229
Tm 0.050 0.050 0.849
Tm 0.950 0.950 0.151
Tm 0.178 0.178 0.467
Tm 0.822 0.822 0.533
Ru 0.220 0.718 0.344
Ru 0.718 0.220 0.344
Ru 0.718 0.718 0.344
Ru 0.780 0.282 0.656
Ru 0.282 0.780 0.656
Ru 0.282 0.282 0.656
U 0.395 0.395 0.815
U 0.605 0.605 0.185
U 0.000 0.500 0.000
U 0.500 0.000 0.000
U 0.500 0.500 0.000
U 0.500 0.500 0.500
CELL_PARAMETERS angstrom
5.789 0.000 0.000
2.895 5.013 0.000
2.895 1.671 12.772
```

---

# 14
# CoTcRu2

CoTcRu2 after structural relaxation (PBE-GGA, Alexandria via LeMat-Bulk). Values from VASP.

## Properties
- DFT formation energy (eV per atom) = 0.412
- SG = R3m, No. 160

Geometry as Quantum ESPRESSO input:
```
&SYSTEM
  ibrav = 0, nat = 4, ntyp = 3
/
ATOMIC_SPECIES
Co 58.93 Co.upf
Tc 98.00 Tc.upf
Ru 101.07 Ru.upf
ATOMIC_POSITIONS crystal
Co 0.704 0.704 0.888
Tc 0.488 0.488 0.535
Ru 0.041 0.041 0.876
Ru 0.267 0.267 0.200
CELL_PARAMETERS angstrom
4.095 0.000 0.000
2.047 3.546 0.000
2.047 1.182 3.901
```

---

# 15
# TbGeS4

TbGeS4 after structural relaxation (PBE-GGA, Alexandria via LeMat-Bulk). Values from VASP.

## Properties
- energy relative to the elements, uncorrected (meV/atom) = -828
- SG = Cmcm, No. 63

Geometry as Quantum ESPRESSO input:
```
&SYSTEM
  ibrav = 0, nat = 12, ntyp = 3
/
ATOMIC_SPECIES
Tb 158.93 Tb.upf
Ge 72.64 Ge.upf
S 32.06 S.upf
ATOMIC_POSITIONS crystal
Tb 0.000 0.625 0.750
Tb 0.000 0.375 0.250
Ge 0.000 0.111 0.750
Ge 0.000 0.889 0.250
S 0.598 0.731 0.750
S 0.402 0.269 0.250
S 0.401 0.132 0.750
S 0.599 0.868 0.250
S 0.000 0.683 0.064
S 0.000 0.317 0.564
S 0.000 0.683 0.436
S 0.000 0.317 0.936
CELL_PARAMETERS angstrom
-2.380 -4.753 2.193
7.039 1.899 -0.401
-0.625 4.004 7.999
```

---

# 16
# LiCl3

LiCl3 after structural relaxation (PBE-GGA, Alexandria via LeMat-Bulk). Values from VASP.

## Properties
- energy relative to the elements, uncorrected (meV/atom) = -642
- SG = I4/mmm, No. 139

Geometry as Quantum ESPRESSO input:
```
&SYSTEM
  ibrav = 0, nat = 4, ntyp = 2
/
ATOMIC_SPECIES
Cl 35.45 Cl.upf
Li 6.94 Li.upf
ATOMIC_POSITIONS crystal
Cl 0.250 0.750 0.500
Cl 0.500 0.500 0.000
Cl 0.750 0.250 0.500
Li 0.000 0.000 0.000
CELL_PARAMETERS angstrom
-3.306 -5.982 5.693
1.787 -6.503 5.801
0.896 7.965 -3.858
```

---

# 17
# LiAl2Te

LiAl2Te after structural relaxation (PBE-GGA, Alexandria via LeMat-Bulk). Values from VASP.

## Properties
- energy relative to the elements, uncorrected (meV/atom) = -98
- SG = Pmm2, No. 25

Geometry as Quantum ESPRESSO input:
```
&SYSTEM
  ibrav = 0, nat = 4, ntyp = 3
/
ATOMIC_SPECIES
Al 26.98 Al.upf
Li 6.94 Li.upf
Te 127.60 Te.upf
ATOMIC_POSITIONS crystal
Al 0.000 0.000 0.082
Al 0.500 0.500 0.229
Li 0.000 0.000 0.515
Te 0.500 0.500 0.675
CELL_PARAMETERS angstrom
-2.830 -0.278 -1.027
1.372 -2.686 -3.054
-0.977 -5.145 4.086
```